1.
This record from Alexandria via LeMat-Bulk describes Cd2GaNiHg after structural relaxation. The functional is GGA-PBE.

abc: 5.101 5.101 4.555
angles: 90.00 90.00 90.00
Fractional positions:
Ga 0.000 0.000 0.500
Hg 0.500 0.500 0.500
Cd 0.500 0.000 0.000
Cd 0.000 0.500 0.000
Ni 0.000 0.000 0.000

Values from the calculation:
The density of states at the Fermi level comes out at 2.28 states/eV per cell. The calculated volume comes out at 118 Å³/cell. The value obtained for the formation energy is 39.3 meV per atom.

=====

2.
This record from Alexandria via LeMat-Bulk describes PaCdGaHg after structural relaxation. The functional is GGA-PBE.

abc: 5.027 5.027 5.027
angles: 60.00 60.00 60.00
Fractional positions:
Pa 0.250 0.250 0.250
Ga 0.500 0.500 0.500
Hg 0.000 0.000 0.000
Cd 0.750 0.750 0.750

Values from the calculation:
The density of states at the Fermi level comes out at 3.17 states/eV per cell. The calculated volume comes out at 90 Å³/cell. The value obtained for the formation energy is -22.9 meV per atom.